Entry 1:
## Tl3ReSe (meta-GGA SCAN)

Data for Tl3ReSe at its PBEsol-relaxed geometry.

Unit cell a=5.457 b=5.457 c=5.457 alpha=90.00 beta=90.00 gamma=90.00
Element x y z (fractional)
Tl: 0.000 0.000 0.500
Tl: 0.000 0.500 0.000
Tl: 0.500 0.000 0.000
Re: 0.500 0.500 0.500
Se: 0.000 0.000 0.000

Properties
final energy: -60.069 eV/atom
D(E_F): 0.6562 states/eV/atom

---

Entry 2:
## Tl2ReSe (meta-GGA SCAN)

Data for Tl2ReSe at its PBEsol-relaxed geometry.

Unit cell a=5.334 b=5.334 c=2.932 alpha=90.09 beta=90.09 gamma=104.88
Element x y z (fractional)
Tl: 0.000 0.500 0.000
Tl: 0.500 0.000 0.000
Re: 0.000 0.000 0.500
Se: 0.500 0.500 0.500

Properties
final energy: -57.992 eV/atom
D(E_F): 0.5012 states/eV/atom
energy above the lowest structure with this stoichiometry: 0.000 eV/atom

---

Entry 3:
## Tl2ReSe (meta-GGA SCAN)

Data for Tl2ReSe at its PBEsol-relaxed geometry.

Unit cell a=3.563 b=3.563 c=6.341 alpha=90.00 beta=90.00 gamma=90.00
Element x y z (fractional)
Tl: 0.000 0.000 0.233
Tl: 0.000 0.000 0.767
Re: 0.500 0.500 0.000
Se: 0.500 0.500 0.500

Properties
final energy: -57.908 eV/atom
D(E_F): 0.7613 states/eV/atom
energy above the lowest structure with this stoichiometry: 0.084 eV/atom

---

Entry 4:
## ReWSe3 (meta-GGA SCAN)

Data for ReWSe3 at its PBEsol-relaxed geometry.

Unit cell a=4.869 b=4.869 c=4.869 alpha=90.00 beta=90.00 gamma=90.00
Element x y z (fractional)
Re: 0.000 0.000 0.000
W: 0.500 0.500 0.500
Se: 0.000 0.500 0.500
Se: 0.500 0.000 0.500
Se: 0.500 0.500 0.000

Properties
final energy: -38.779 eV/atom
D(E_F): 0.5155 states/eV/atom

---

Entry 5:
## YRe2Se (meta-GGA SCAN)

Data for YRe2Se at its PBEsol-relaxed geometry.

Unit cell a=3.742 b=3.742 c=5.072 alpha=90.00 beta=90.00 gamma=90.00
Element x y z (fractional)
Y: 0.000 0.000 0.000
Re: 0.000 0.500 0.500
Re: 0.500 0.000 0.500
Se: 0.500 0.500 0.000

Properties
final energy: -47.360 eV/atom
D(E_F): 0.4632 states/eV/atom

---

Entry 6:
## YRe2Se (meta-GGA SCAN)

Data for YRe2Se at its PBEsol-relaxed geometry.

Unit cell a=5.948 b=5.948 c=3.284 alpha=105.99 beta=105.99 gamma=126.90
Element x y z (fractional)
Y: 0.000 0.000 0.000
Re: 0.000 0.500 0.000
Re: 0.500 0.000 0.000
Se: 0.500 0.500 0.000

Properties
final energy: -47.356 eV/atom
D(E_F): 0.6333 states/eV/atom

---

Entry 7:
## Zr2ReSe (meta-GGA SCAN)

Data for Zr2ReSe at its PBEsol-relaxed geometry.

Unit cell a=4.868 b=4.868 c=4.868 alpha=126.59 beta=126.59 gamma=78.93
Element x y z (fractional)
Zr: 0.250 0.750 0.500
Zr: 0.750 0.250 0.500
Re: 0.000 0.000 0.000
Se: 0.500 0.500 0.000

Properties
final energy: -38.397 eV/atom
D(E_F): 0.7279 states/eV/atom

---

Entry 8:
## Re3Si (meta-GGA SCAN)

Data for Re3Si at its PBEsol-relaxed geometry.

Unit cell a=2.885 b=2.885 c=6.624 alpha=90.00 beta=90.00 gamma=90.00
Element x y z (fractional)
Re: 0.000 0.000 0.000
Re: 0.500 0.500 0.271
Re: 0.500 0.500 0.729
Si: 0.000 0.000 0.500

Properties
final energy: -55.955 eV/atom
D(E_F): 0.5828 states/eV/atom
energy above the lowest structure with this stoichiometry: 0.000 eV/atom